CsSbO2F: relaxed, GGA-PBE.

Calculated values
E_form (uncorrected): 234 meV per atom
magnetic moment: 0.00 μB per formula unit
V: 21.18 A^3/atom
uncorrected energy: -3.12 eV/atom

Cell: 4.5532 4.5532 5.1087 Å, 90.00 90.00 90.00°
Space group P4/mmm (No. 123)
Inequivalent atoms, fractional coordinates:
Cs: 0.0000 0.0000 0.0000 [1 per cell]
Sb: 0.5000 0.5000 0.5000 [1 per cell]
O: 0.0000 0.5000 0.0000 [2 per cell]
F: 0.0000 0.0000 0.5000 [1 per cell]



Sm2Er2Th15: relaxed, GGA-PBE.

Calculated values
magnetic moment: 0.00 μB per formula unit
V: 34.28 A^3/atom
uncorrected energy: -6.55 eV/atom
formation energy from the elements: 280 meV per atom

Cell: 11.4389 11.4389 17.2442 Å, 90.00 90.00 120.00°
Space group R-3m (No. 166, hexagonal axes)
Inequivalent atoms, fractional coordinates:
Sm: 0.0000 0.0000 0.1804 [6 per cell]
Er: 0.0000 0.0000 0.4018 [6 per cell]
Th: 0.0000 0.2972 0.5000 [18 per cell]
Th: 0.0000 0.5000 0.0000 [9 per cell]
Th: 0.0095 0.5047 0.6484 [18 per cell]



CdCoS: relaxed, GGA-PBE.

Calculated values
E_form (uncorrected): -169 meV per atom
magnetic moment: 0.00 μB per formula unit
V: 17.68 A^3/atom
uncorrected energy: -4.22 eV/atom

Cell: 3.1099 3.1099 12.6647 Å, 90.00 90.00 120.00°
Space group P-3m1 (No. 164)
Inequivalent atoms, fractional coordinates:
Cd: 0.3333 0.6667 0.1027 [2 per cell]
Co: 0.3333 0.6667 0.7211 [2 per cell]
S: 0.3333 0.6667 0.3675 [2 per cell]



CaHo6Te8: relaxed, GGA-PBE.

Calculated values
E_form (uncorrected): -1368 meV per atom
magnetic moment: 0.00 μB per formula unit
V: 30.72 A^3/atom
uncorrected energy: -5.01 eV/atom

Cell: 12.2610 12.2610 12.2610 Å, 90.00 90.00 90.00°
Space group Fm-3m (No. 225)
Inequivalent atoms, fractional coordinates:
Ca: 0.0000 0.0000 0.0000 [4 per cell]
Ho: 0.0000 0.2500 0.2500 [24 per cell]
Te: 0.0000 0.0000 0.2577 [24 per cell]
Te: 0.2500 0.2500 0.2500 [8 per cell]



NdHCN2: relaxed, GGA-PBE.

Calculated values
magnetic moment: 0.00 μB per formula unit
V: 12.97 A^3/atom
uncorrected energy: -7.46 eV/atom

Cell: 3.7094 9.2983 7.5180 Å, 90.00 90.00 90.00°
Space group Cmcm (No. 63)
Inequivalent atoms, fractional coordinates:
Nd: 0.0000 0.2275 0.2500 [4 per cell]
H: 0.0000 0.1157 0.7500 [4 per cell]
C: 0.0000 0.5000 0.0000 [4 per cell]
N: 0.0000 0.3730 0.5471 [8 per cell]



NdPa4Re3N12: relaxed, GGA-PBE.

Calculated values
E_form (uncorrected): -650 meV per atom
magnetic moment: 2.16 μB per formula unit
V: 14.04 A^3/atom
uncorrected energy: -9.65 eV/atom

Cell: 8.2506 8.2506 8.2506 Å, 90.00 90.00 90.00°
Space group Im-3 (No. 204)
Inequivalent atoms, fractional coordinates:
Nd: 0.0000 0.0000 0.0000 [2 per cell]
Pa: 0.2500 0.2500 0.2500 [8 per cell]
Re: 0.0000 0.0000 0.5000 [6 per cell]
N: 0.0000 0.3175 0.1564 [24 per cell]



AcThGa: relaxed, GGA-PBE.

Calculated values
magnetic moment: 0.00 μB per formula unit
energy above the most stable polymorph in this dataset: 14 meV per atom
V: 31.33 A^3/atom
uncorrected energy: -5.04 eV/atom
formation energy from the elements: -184 meV per atom

Cell: 3.8321 3.8321 12.8001 Å, 90.00 90.00 90.00°
Space group I4mm (No. 107)
Inequivalent atoms, fractional coordinates:
Ac: 0.0000 0.0000 0.0000 [2 per cell]
Th: 0.0000 0.0000 0.2887 [2 per cell]
Ga: 0.0000 0.0000 0.6595 [2 per cell]



K3Ac2PmTe6: relaxed, GGA-PBE.

Calculated values
E_form (uncorrected): -1465 meV per atom
magnetic moment: 0.00 μB per formula unit
V: 40.67 A^3/atom
uncorrected energy: -4.39 eV/atom

Cell: 21.5114 4.7598 9.9478 Å, 90.00 106.63 90.00°
Space group C2/m (No. 12)
Inequivalent atoms, fractional coordinates:
K: 0.0000 0.0000 0.0000 [2 per cell]
K: 0.1674 0.5000 0.3337 [4 per cell]
Ac: 0.1645 0.5000 0.8294 [4 per cell]
Pm: 0.0000 0.0000 0.5000 [2 per cell]
Te: 0.0034 0.5000 0.7209 [4 per cell]
Te: 0.1553 0.0000 0.5908 [4 per cell]
Te: 0.1725 0.0000 0.0695 [4 per cell]



BaLa2Cu: relaxed, GGA-PBE.

Calculated values
magnetic moment: 0.00 μB per formula unit
energy above the most stable polymorph in this dataset: 51 meV per atom
V: 34.40 A^3/atom
uncorrected energy: -3.90 eV/atom
formation energy from the elements: 68 meV per atom

Cell: 3.7459 5.9402 12.3663 Å, 90.00 90.00 90.00°
Space group Immm (No. 71)
Inequivalent atoms, fractional coordinates:
Ba: 0.0000 0.0000 0.0000 [2 per cell]
La: 0.0000 0.5000 0.1995 [4 per cell]
Cu: 0.0000 0.0000 0.5000 [2 per cell]



K3PmTm2Se6: relaxed, GGA-PBE.

Calculated values
E_form (uncorrected): -1751 meV per atom
magnetic moment: 0.00 μB per formula unit
V: 29.57 A^3/atom
uncorrected energy: -4.91 eV/atom

Cell: 7.3023 12.6490 8.0609 Å, 90.00 107.60 90.00°
Space group C2/m (No. 12)
Inequivalent atoms, fractional coordinates:
K: 0.0000 0.0000 0.0000 [2 per cell]
K: 0.0000 0.3349 0.0000 [4 per cell]
Pm: 0.0000 0.5000 0.5000 [2 per cell]
Tm: 0.0000 0.1669 0.5000 [4 per cell]
Se: 0.2257 0.0000 0.7048 [4 per cell]
Se: 0.2397 0.3287 0.7050 [8 per cell]



Na2Cd2AgPd5: relaxed, GGA-PBE.

Calculated values
magnetic moment: 0.00 μB per formula unit
V: 18.93 A^3/atom
uncorrected energy: -3.45 eV/atom
formation energy from the elements: -124 meV per atom

Cell: 9.5043 9.5043 4.1913 Å, 90.00 90.00 90.00°
Space group P4/mbm (No. 127)
Inequivalent atoms, fractional coordinates:
Na: 0.1720 0.3280 0.0000 [4 per cell]
Cd: 0.1283 0.6283 0.0000 [4 per cell]
Ag: 0.0000 0.0000 0.0000 [2 per cell]
Pd: 0.0000 0.5000 0.5000 [2 per cell]
Pd: 0.0649 0.8016 0.5000 [8 per cell]



Cr3SiNi: relaxed, GGA-PBE.

Calculated values
E_form (uncorrected): 1183 meV per atom
magnetic moment: 7.81 μB per formula unit
V: 16.38 A^3/atom
uncorrected energy: -6.83 eV/atom

Cell: 4.3429 4.3429 4.3429 Å, 90.00 90.00 90.00°
Space group Pm-3m (No. 221)
Inequivalent atoms, fractional coordinates:
Cr: 0.0000 0.0000 0.5000 [3 per cell]
Si: 0.5000 0.5000 0.5000 [1 per cell]
Ni: 0.0000 0.0000 0.0000 [1 per cell]



- Number 1 is which compound?
  CsSbO2F